1.
The following is a DFT calculation (PBE) of a relaxed AlSb2Pb crystal.

Lattice parameters (Å, degrees): 4.1045 4.1045 22.9884 90.00 90.00 120.00
Closest atoms and distances in Å follow each position.
Positions (direct):
Al 0.0000 0.0000 0.0000  6 Sb 2.83-2.86
Al 0.3333 0.6667 0.6667  6 Sb 2.83-2.86
Al 0.6667 0.3333 0.3333  6 Sb 2.83-2.86
Sb 0.0000 0.0000 0.4009  3 Al 2.83
Sb 0.0000 0.0000 0.5971  3 Al 2.86
Sb 0.3333 0.6667 0.0676  3 Al 2.83
Sb 0.3333 0.6667 0.2637  3 Al 2.86
Sb 0.6667 0.3333 0.7342  3 Al 2.83
Sb 0.6667 0.3333 0.9304  3 Al 2.86
Pb 0.0000 0.0000 0.8336  6 Sb 3.25-3.29
Pb 0.3333 0.6667 0.5003  6 Sb 3.25-3.29
Pb 0.6667 0.3333 0.1669  6 Sb 3.25-3.29

## Properties
- DOS(E_F): 5.54 states/eV/cell
- Energy above the most stable polymorph in this dataset: 5 meV per atom
- E_form (uncorrected): 49 meV/atom
- V: 27.950 Å³/atom
- SG: R3m

=====

2.
The following is a DFT calculation (PBE) of a relaxed Ba2CaPtO4 crystal.

Lattice parameters (Å, degrees): 12.6243 11.2284 7.0467 84.07 62.21 33.72
Closest atoms and distances in Å follow each position.
Positions (direct):
Ba 0.0623 0.0623 0.6877  2 O 2.40
Ba 0.3123 0.3123 0.9377  2 O 2.40
Ba 0.6877 0.6877 0.0623  2 O 2.40
Ba 0.9377 0.9377 0.3123  2 O 2.40
Ca 0.1250 0.1250 0.1250  4 O 2.22
Ca 0.8750 0.8750 0.8750  4 O 2.22
Pt 0.3750 0.3750 0.3750  4 O 2.09
Pt 0.6250 0.6250 0.6250  4 O 2.09
O 0.0036 0.7120 0.5037  1 Pt 2.09, 1 Ca 2.22
O 0.2808 0.5037 0.7120  1 Pt 2.09, 1 Ca 2.22
O 0.2880 0.9964 0.7192  1 Pt 2.09, 1 Ca 2.22
O 0.4963 0.7192 0.9964  1 Pt 2.09, 1 Ca 2.22
O 0.5037 0.2808 0.0036  1 Pt 2.09, 1 Ca 2.22
O 0.7120 0.0036 0.2808  1 Pt 2.09, 1 Ca 2.22
O 0.7192 0.4963 0.2880  1 Pt 2.09, 1 Ca 2.22
O 0.9964 0.2880 0.4963  1 Pt 2.09, 1 Ca 2.22

## Properties
- E_form (uncorrected): -1669 meV/atom
- V: 24.999 Å³/atom
- SG: Fddd

=====

3.
The following is a DFT calculation (PBE) of a relaxed Ba2ReIr crystal.

Lattice parameters (Å, degrees): 3.4358 3.4358 30.3951 90.00 90.00 120.00
Closest atoms and distances in Å follow each position.
Positions (direct):
Ba 0.0000 0.0000 0.2465  3 Ir 3.14, 3 Re 3.30, 6 Ba 3.44
Ba 0.0000 0.0000 0.7535  3 Ir 3.14, 3 Re 3.30, 6 Ba 3.44
Ba 0.3333 0.6667 0.4201  3 Ir 3.14, 3 Re 3.30, 6 Ba 3.44
Ba 0.3333 0.6667 0.9132  3 Ir 3.14, 3 Re 3.30, 6 Ba 3.44
Ba 0.6667 0.3333 0.0868  3 Ir 3.14, 3 Re 3.30, 6 Ba 3.44
Ba 0.6667 0.3333 0.5799  3 Ir 3.14, 3 Re 3.30, 6 Ba 3.44
Re 0.0000 0.0000 0.0000  6 Ba 3.30, 6 Re 3.44
Re 0.3333 0.6667 0.6667  6 Ba 3.30, 6 Re 3.44
Re 0.6667 0.3333 0.3333  6 Ba 3.30, 6 Re 3.44
Ir 0.0000 0.0000 0.5000  6 Ba 3.14, 6 Ir 3.44
Ir 0.3333 0.6667 0.1667  6 Ba 3.14, 6 Ir 3.44
Ir 0.6667 0.3333 0.8333  6 Ba 3.14, 6 Ir 3.44

## Properties
- Formation energy from the elements: 1342 meV per atom
- DOS(E_F): 9.46 states/eV/cell
- Energy above the most stable polymorph in this dataset: 1226 meV per atom
- V: 25.894 Å³/atom
- SG: R-3m

=====

4.
The following is a DFT calculation (PBE) of a relaxed CaScInHg crystal.

Lattice parameters (Å, degrees): 3.6097 3.6097 7.6286 90.00 90.00 90.00
Closest atoms and distances in Å follow each position.
Positions (direct):
Ca 0.0000 0.0000 0.0000  4 Hg 3.28, 4 In 3.33, 4 Ca 3.61
Sc 0.0000 0.0000 0.5161  4 Hg 3.03, 4 In 3.12
In 0.5000 0.5000 0.2804  4 Sc 3.12, 4 Ca 3.33, 1 Hg 3.44
Hg 0.5000 0.5000 0.7309  4 Sc 3.03, 4 Ca 3.28

## Properties
- Formation energy from the elements: -463 meV per atom
- DOS(E_F): 2.87 states/eV/cell
- Energy above the most stable polymorph in this dataset: 0 meV per atom
- V: 24.850 Å³/atom
- SG: P4mm

=====

5.
The following is a DFT calculation (PBE) of a relaxed NaTa2BIr crystal.

Lattice parameters (Å, degrees): 4.3390 4.3390 4.3020 90.00 90.00 90.00
Closest atoms and distances in Å follow each position.
Positions (direct):
Na 0.0000 0.0000 0.0000  2 B 2.15
Ta 0.0000 0.5000 0.5000  2 B 2.17
Ta 0.5000 0.0000 0.5000  2 B 2.17
B 0.0000 0.0000 0.5000  2 Na 2.15, 4 Ta 2.17
Ir 0.5000 0.5000 0.0000  8 Ta 3.06, 4 Na 3.07

## Properties
- Formation energy from the elements: 531 meV per atom
- DOS(E_F): 4.30 states/eV/cell
- V: 16.199 Å³/atom
- SG: P4/mmm

=====

6.
The following is a DFT calculation (PBE) of a relaxed Li2La2SmHg2 crystal.

Lattice parameters (Å, degrees): 9.4112 9.4112 9.4112 29.99 29.99 29.99
Closest atoms and distances in Å follow each position.
Positions (direct):
Li 0.1090 0.1090 0.1090  3 Hg 2.82
Li 0.8910 0.8910 0.8910  3 Hg 2.82
La 0.3722 0.3722 0.3722  3 Hg 3.27, 3 Li 3.39, 1 Sm 3.44, 3 La 3.51
La 0.6278 0.6278 0.6278  3 Hg 3.27, 3 Li 3.39, 1 Sm 3.44, 3 La 3.51
Sm 0.5000 0.5000 0.5000  6 Li 3.21, 6 Hg 3.33, 2 La 3.44
Hg 0.2326 0.2326 0.2326  3 Li 2.82
Hg 0.7674 0.7674 0.7674  3 Li 2.82

## Properties
- Formation energy from the elements: -239 meV per atom
- DOS(E_F): 7.67 states/eV/cell
- V: 26.350 Å³/atom
- SG: R-3m

=====

7.
The following is a DFT calculation (PBE) of a relaxed La2TbPr3Se6 crystal.

Lattice parameters (Å, degrees): 7.3783 7.3783 7.3617 99.63 99.63 120.16
Closest atoms and distances in Å follow each position.
Positions (direct):
La 0.1659 0.8341 0.0000  6 Se 3.02-3.03
La 0.8341 0.1659 0.0000  6 Se 3.02-3.03
Tb 0.5000 0.5000 0.0000  6 Se 2.93-2.94
Pr 0.0000 0.0000 0.5000  6 Se 3.01-3.07
Pr 0.3289 0.6711 0.5000  6 Se 3.00-3.05
Pr 0.6711 0.3289 0.5000  6 Se 3.00-3.05
Se 0.0952 0.4192 0.7560  1 Tb 2.93, 3 Pr 3.00-3.05, 2 La 3.02
Se 0.2600 0.2600 0.2493  1 Tb 2.94, 3 Pr 3.02-3.07, 2 La 3.03
Se 0.4192 0.0952 0.7560  1 Tb 2.93, 3 Pr 3.00-3.05, 2 La 3.02
Se 0.5808 0.9048 0.2440  1 Tb 2.93, 3 Pr 3.00-3.05, 2 La 3.02
Se 0.7400 0.7400 0.7507  1 Tb 2.94, 3 Pr 3.02-3.07, 2 La 3.03
Se 0.9048 0.5808 0.2440  1 Tb 2.93, 3 Pr 3.00-3.05, 2 La 3.02

## Properties
- DOS(E_F): 6.03 states/eV/cell
- E_form (uncorrected): -1887 meV/atom
- V: 27.204 Å³/atom
- SG: C2/m

=====

8.
The following is a DFT calculation (PBE) of a relaxed ErCoGe2 crystal.

Lattice parameters (Å, degrees): 9.1620 9.1620 9.1620 154.02 123.84 62.89
Closest atoms and distances in Å follow each position.
Positions (direct):
Er 0.2072 0.2072 0.0000  8 Ge 2.87-2.93, 6 Co 3.13-3.15
Er 0.2378 0.0000 0.2378  4 Co 3.07, 10 Ge 3.16-3.32
Er 0.7622 0.0000 0.7622  4 Co 3.07, 10 Ge 3.16-3.32
Er 0.7928 0.7928 0.0000  8 Ge 2.87-2.93, 6 Co 3.13-3.15
Co 0.1044 0.3542 0.7501  5 Ge 2.34-2.57
Co 0.3959 0.6458 0.7501  5 Ge 2.34-2.57
Co 0.6041 0.3542 0.2499  5 Ge 2.34-2.57
Co 0.8956 0.6458 0.2499  5 Ge 2.34-2.57
Ge 0.0793 0.5793 0.5000  2 Co 2.39, 1 Ge 2.48
Ge 0.1419 0.8022 0.3396  3 Co 2.34-2.57
Ge 0.4167 0.4167 0.0000  2 Co 2.37, 1 Ge 2.61
Ge 0.4626 0.8022 0.6604  3 Co 2.34-2.57
Ge 0.5374 0.1978 0.3396  3 Co 2.34-2.57
Ge 0.5833 0.5833 0.0000  2 Co 2.37, 1 Ge 2.61
Ge 0.8581 0.1978 0.6604  3 Co 2.34-2.57
Ge 0.9207 0.4207 0.5000  2 Co 2.39, 1 Ge 2.48

## Properties
- Formation energy from the elements: -642 meV per atom
- DOS(E_F): 7.56 states/eV/cell
- V: 17.358 Å³/atom
- SG: Immm

=====

9.
The following is a DFT calculation (PBE) of a relaxed Y4AlGa2 crystal.

Lattice parameters (Å, degrees): 15.2668 3.5491 8.1480 90.00 121.79 90.00
Closest atoms and distances in Å follow each position.
Positions (direct):
Y 0.1218 0.0000 0.3675  3 Ga 2.98-3.00, 2 Al 3.12
Y 0.1234 0.5000 0.7844  3 Ga 2.97-2.98, 1 Al 3.18
Y 0.3766 0.0000 0.2156  3 Ga 2.97-2.98, 1 Al 3.18
Y 0.3782 0.5000 0.6325  3 Ga 2.98-3.00, 2 Al 3.12
Y 0.6218 0.5000 0.3675  3 Ga 2.98-3.00, 2 Al 3.12
Y 0.6234 0.0000 0.7844  3 Ga 2.97-2.98, 1 Al 3.18
Y 0.8766 0.5000 0.2156  3 Ga 2.97-2.98, 1 Al 3.18
Y 0.8782 0.0000 0.6325  3 Ga 2.98-3.00, 2 Al 3.12
Al 0.0000 0.5000 0.0000  2 Ga 2.85, 6 Y 3.12-3.18
Al 0.5000 0.0000 0.0000  2 Ga 2.85, 6 Y 3.12-3.18
Ga 0.2199 0.5000 0.2118  1 Al 2.85, 6 Y 2.97-3.00
Ga 0.2801 0.0000 0.7882  1 Al 2.85, 6 Y 2.97-3.00
Ga 0.7199 0.0000 0.2118  1 Al 2.85, 6 Y 2.97-3.00
Ga 0.7801 0.5000 0.7882  1 Al 2.85, 6 Y 2.97-3.00

## Properties
- Formation energy from the elements: -313 meV per atom
- DOS(E_F): 9.92 states/eV/cell
- V: 26.804 Å³/atom
- SG: C2/m

=====

10.
The following is a DFT calculation (PBE) of a relaxed CdFeSb2I crystal.

Lattice parameters (Å, degrees): 4.8607 4.8607 5.8309 90.00 90.00 90.00
Closest atoms and distances in Å follow each position.
Positions (direct):
Cd 0.0000 0.0000 0.0000  4 I 3.44, 8 Sb 3.80
Fe 0.5000 0.5000 0.5000  4 Sb 2.43
Sb 0.0000 0.5000 0.5000  2 Fe 2.43
Sb 0.5000 0.0000 0.5000  2 Fe 2.43
I 0.5000 0.5000 0.0000  2 Fe 2.92

## Properties
- DOS(E_F): 4.57 states/eV/cell
- Energy above the most stable polymorph in this dataset: 0 meV per atom
- E_form (uncorrected): 382 meV/atom
- V: 27.552 Å³/atom
- SG: P4/mmm

=====

11.
The following is a DFT calculation (PBE) of a relaxed HgIrRu2 crystal.

Lattice parameters (Å, degrees): 2.7943 2.7943 8.0252 90.00 90.00 90.00
Closest atoms and distances in Å follow each position.
Positions (direct):
Hg 0.0000 0.0000 0.0000  4 Hg 2.79, 8 Ru 2.95
Ir 0.0000 0.0000 0.5000  8 Ru 2.69, 4 Ir 2.79
Ru 0.5000 0.5000 0.2733  4 Ir 2.69, 4 Ru 2.79, 4 Hg 2.95
Ru 0.5000 0.5000 0.7267  4 Ir 2.69, 4 Ru 2.79, 4 Hg 2.95

## Properties
- Formation energy from the elements: 328 meV per atom
- DOS(E_F): 4.29 states/eV/cell
- V: 15.665 Å³/atom
- SG: P4/mmm

=====

12.
The following is a DFT calculation (PBE) of a relaxed Al2TcPt crystal.

Lattice parameters (Å, degrees): 3.2537 3.2537 5.6220 90.00 90.00 90.00
Closest atoms and distances in Å follow each position.
Positions (direct):
Al 0.0000 0.0000 0.0000  4 Tc 2.58, 1 Pt 2.71, 4 Al 2.77
Al 0.5000 0.5000 0.2759  4 Pt 2.58, 1 Tc 2.71, 4 Al 2.77
Tc 0.5000 0.5000 0.7940  5 Al 2.58-2.71
Pt 0.0000 0.0000 0.4828  5 Al 2.58-2.71

## Properties
- Formation energy from the elements: -455 meV per atom
- DOS(E_F): 2.85 states/eV/cell
- V: 14.879 Å³/atom
- SG: P4mm